[1]
The following is a DFT calculation (PBE) of a geometry-optimized Li3ReMo2N6 structure.

Output
- E_form (uncorrected): -0.371 eV/atom
- Density: 6.8 g/cm³

a b c (Å): 5.076 8.815 5.509
angles (deg): 90.00 108.04 90.00
Space group C2/m (No. 12)
Inequivalent atoms, fractional coordinates:
1 Li 0.000 0.000 0.000
2 Li 0.000 0.331 0.000
3 Re 0.000 0.500 0.500
4 Mo 0.000 0.165 0.500
5 N 0.242 0.335 0.732
6 N 0.246 0.000 0.734

***

[2]
The following is a DFT calculation (PBE) of a geometry-optimized ReAgO5 structure.

Output
- E_form (uncorrected): -0.745 eV/atom
- Density: 6.5 g/cm³

a b c (Å): 3.777 6.568 7.757
angles (deg): 90.00 90.00 90.00
Space group Immm (No. 71)
Inequivalent atoms, fractional coordinates:
1 Re 0.000 0.000 0.000
2 Ag 0.000 0.000 0.500
3 O 0.000 0.000 0.237
4 O 0.000 0.290 0.000
5 O 0.000 0.500 0.500

***

[3]
The following is a DFT calculation (PBE) of a geometry-optimized CeDy3Pb4 structure.

Output
- Density: 10.5 g/cm³
- Total energy: -4.721 eV per atom

a b c (Å): 14.982 5.776 5.777
angles (deg): 90.00 112.63 90.00
Space group C2/m (No. 12)
Inequivalent atoms, fractional coordinates:
1 Ce 0.000 0.000 0.000
2 Dy 0.000 0.500 0.500
3 Dy 0.248 0.500 0.748
4 Pb 0.128 0.000 0.628
5 Pb 0.128 0.500 0.129

***

[4]
The following is a DFT calculation (PBE) of a geometry-optimized DyY14Zr structure.

Output
- Density: 4.9 g/cm³
- Total energy: -6.435 eV per atom

a b c (Å): 7.098 7.098 9.980
angles (deg): 90.00 90.00 90.00
Space group P4/mmm (No. 123)
Inequivalent atoms, fractional coordinates:
1 Dy 0.000 0.000 0.000
2 Y 0.000 0.000 0.500
3 Y 0.000 0.500 0.000
4 Y 0.000 0.500 0.500
5 Y 0.255 0.255 0.244
6 Y 0.500 0.500 0.500
7 Zr 0.500 0.500 0.000

***

[5]
The following is a DFT calculation (PBE) of a geometry-optimized Cu2BiHN structure.

Output
- Density: 4.8 g/cm³
- Energy relative to the lowest polymorph listed for this composition: 1.006 eV/atom

a b c (Å): 5.093 5.093 4.712
angles (deg): 90.00 90.00 90.00
Space group P4/mmm (No. 123)
Inequivalent atoms, fractional coordinates:
1 Cu 0.000 0.500 0.000
2 Bi 0.000 0.000 0.000
3 H 0.500 0.500 0.500
4 N 0.000 0.000 0.500

***

[6]
The following is a DFT calculation (PBE) of a geometry-optimized VHIr structure.

Output
- Density: 12.1 g/cm³
- Energy relative to the lowest polymorph listed for this composition: 0.273 eV/atom

a b c (Å): 3.7681 3.7681 2.7288
angles (deg): 90.00 90.00 120.00
Space group P3m1 (No. 156)
Inequivalent atoms, fractional coordinates:
1 V 0.0000 0.0000 0.0000
2 H 0.3333 0.6667 0.4425
3 Ir 0.6667 0.3333 0.4788

***

[7]
The following is a DFT calculation (PBE) of a geometry-optimized Tb4Nd4Er structure.

Output
- Density: 7.7 g/cm³
- Total energy: -4.668 eV per atom

a b c (Å): 10.833 10.833 5.087
angles (deg): 90.00 90.00 90.00
Space group I4/mmm (No. 139)
Inequivalent atoms, fractional coordinates:
1 Tb 0.000 0.334 0.000
2 Nd 0.166 0.166 0.500
3 Er 0.000 0.000 0.000

***

[8]
The following is a DFT calculation (PBE) of a geometry-optimized Pr2HoEr structure.

Output
- Density: 7.7 g/cm³
- Energy relative to the lowest polymorph listed for this composition: 0.000 eV/atom

a b c (Å): 3.6232 3.6232 35.0346
angles (deg): 90.00 90.00 120.00
Space group R-3m (No. 166, hexagonal axes)
Inequivalent atoms, fractional coordinates:
1 Pr 0.0000 0.0000 0.2502
2 Ho 0.0000 0.0000 0.5000
3 Er 0.0000 0.0000 0.0000

***

[9]
The following is a DFT calculation (PBE) of a geometry-optimized ZrRh2 structure.

Output
- Density: 8.7 g/cm³
- Total energy: -7.984 eV per atom

a b c (Å): 3.794 3.794 3.948
angles (deg): 90.00 90.00 90.00
Space group P4/mmm (No. 123)
Inequivalent atoms, fractional coordinates:
1 Zr 0.000 0.000 0.000
2 Rh 0.000 0.500 0.500

***

[10]
The following is a DFT calculation (PBE) of a geometry-optimized CaFe2Ni structure.

Output
- Density: 5.3 g/cm³
- Total energy: -5.798 eV per atom

a b c (Å): 3.170 3.170 6.561
angles (deg): 90.00 90.00 90.00
Space group P4/mmm (No. 123)
Inequivalent atoms, fractional coordinates:
1 Ca 0.000 0.000 0.000
2 Fe 0.500 0.500 0.332
3 Ni 0.000 0.000 0.500

***

- Which value of density does entry 8 give?
  7.7 g/cm³